No. 1
Mn2ReAs | Alexandria via LeMat-Bulk | GGA-PBE | relaxed; raw total energy = -8.688 eV/atom; energy relative to the elements = 0.68 eV per formula unit; calculated volume = 54.0 Å³/cell
1.0
3.885 0.000 0.000
0.000 3.729 0.000
0.000 0.000 3.729
Mn As Re
2 1 1
Cartesian
0.000 0.000 0.000
0.000 1.864 1.864
1.942 0.000 1.864
1.942 1.864 0.000

No. 2
Li2Hg6Au | Alexandria via LeMat-Bulk | GGA-PBE | relaxed; raw total energy = -1.137 eV/atom; energy relative to the elements = -1.32 eV per formula unit; calculated volume = 434.9 Å³/cell
1.0
-3.469 -4.159 -2.508
6.297 -4.919 -3.242
0.064 -5.620 6.540
Hg Au Li
12 2 4
Cartesian
2.934 -7.725 -0.131
-2.200 -7.093 3.384
-2.437 -5.607 -0.169
-0.041 -6.973 0.922
1.983 -11.352 2.236
-1.423 -10.222 3.655
4.316 -4.476 -2.865
5.092 -7.605 -2.594
3.000 -4.747 0.124
-0.107 -9.952 0.666
0.909 -3.346 -1.446
5.330 -9.092 0.959
0.624 -6.500 3.674
2.269 -8.199 -2.884
2.187 -8.473 2.473
0.917 -4.317 1.962
0.706 -6.225 -1.683
1.976 -10.381 -1.172

No. 3
Ac8InIrPt2 | Alexandria via LeMat-Bulk | GGA-PBE | relaxed; raw total energy = -5.280 eV/atom; energy relative to the elements = -6.81 eV per formula unit; calculated volume = 438.9 Å³/cell
1.0
-5.101 1.313 5.675
3.192 -4.944 4.286
5.378 4.142 4.383
Ac Pt In Ir
8 2 1 1
Cartesian
3.926 0.663 11.490
1.762 1.649 5.798
1.707 -1.138 8.545
5.658 0.148 8.032
-0.458 -0.152 2.854
-2.189 0.362 6.311
0.277 2.462 9.667
3.191 -1.951 4.676
0.451 -1.237 5.715
3.018 1.748 8.628
2.689 2.071 2.192
0.000 0.000 0.000

No. 4
Ca4LaSb | Alexandria via LeMat-Bulk | GGA-PBE | relaxed; raw total energy = -2.718 eV/atom; calculated volume = 224.5 Å³/cell
1.0
0.000 4.824 4.824
4.824 0.000 4.824
4.824 4.824 0.000
La Ca Sb
1 4 1
Cartesian
7.236 7.236 7.236
6.027 3.621 6.027
6.027 6.027 3.621
3.621 6.027 6.027
3.621 3.621 3.621
0.000 0.000 0.000

- Number 1 is which compound?
  Mn2ReAs

- calculated volume of number 2 (Li2Hg6Au)?
  434.9 Å³/cell

- What is the calculated volume in the first record?
  54.0 Å³/cell

- What is the formula in the third record?
  Ac8InIrPt2